[1]
Crystalline ReNi2 at its relaxed geometry, computed with PBE.

Cell: 3.6948 3.6948 21.6507 Å, 90.00 90.00 90.00°
With the nearest neighbours (Å) after each atom.
Space group I4_1/amd (No. 141, origin choice 2)
Asymmetric unit:
Re: 0.0000 0.2500 0.2898 x8  2 Re 2.53, 10 Ni 2.57-2.64
Ni: 0.0000 0.2500 0.1229 x8  8 Ni 2.54-2.61, 4 Re 2.58-2.64
Ni: 0.0000 0.2500 0.7927 x8  6 Ni 2.54-2.61, 6 Re 2.57-2.61

Properties
DOS at the Fermi energy ... 1.364 states/eV per atom
Energy above the lowest structure with this stoichiometry ... 0.336 eV per formula unit
ΔH_f (0 K) ... 61.5 meV per atom
Electronic total energy ... -7.942 eV per atom

=====

[2]
Crystalline Re3Ni4 at its relaxed geometry, computed with PBE.

Cell: 3.0802 3.0802 18.6973 Å, 90.00 90.00 90.00°
With the nearest neighbours (Å) after each atom.
Space group I4/mmm (No. 139)
Asymmetric unit:
Re: 0.0000 0.0000 0.0000 x2  10 Ni 2.51-2.56
Re: 0.0000 0.0000 0.2886 x4  6 Ni 2.61-2.89, 4 Re 2.61
Ni: 0.0000 0.0000 0.1341 x4  4 Ni 2.47, 5 Re 2.51-2.61
Ni: 0.0000 0.0000 0.4281 x4  5 Ni 2.47-2.69, 5 Re 2.56-2.61

Properties
DOS at the Fermi energy ... 0.725 states/eV per atom
ΔH_f (0 K) ... 75.8 meV per atom
Electronic total energy ... -8.563 eV per atom

=====

Number 1: size of the total moment 0.000 μB per atom. Number 2: size of the total moment 0.000 μB per atom.